1.
LiCu2C2O6 | GGA-PBE | optimized geometry

a b c (Å): 5.6992 6.4856 7.8801
angles (deg): 88.65 86.35 88.17
Last column: nearest neighbours and their distance in Å.
Positions (direct):
Li  0.0402  0.2172  0.3369  4 O 1.96-1.99
Li  0.9598  0.7828  0.6631  4 O 1.96-1.99
Cu  0.2025  0.0568  0.0227  2 O 1.90-1.92
Cu  0.2994  0.5417  0.4838  2 O 1.90-1.91
Cu  0.7006  0.4583  0.5162  2 O 1.90-1.91
Cu  0.7975  0.9432  0.9773  2 O 1.90-1.92
C  0.0249  0.1948  0.7216  3 O 1.28-1.32
C  0.4784  0.7158  0.7691  3 O 1.27-1.31
C  0.5216  0.2842  0.2309  3 O 1.27-1.31
C  0.9751  0.8052  0.2784  3 O 1.28-1.32
O  0.0199  0.2999  0.5794  1 C 1.30
O  0.1369  0.9436  0.2473  1 C 1.32
O  0.1854  0.2253  0.8234  1 C 1.28
O  0.2900  0.7001  0.6850  1 C 1.30
O  0.3251  0.3786  0.2860  1 C 1.31
O  0.4760  0.8235  0.9021  1 C 1.27
O  0.5240  0.1765  0.0979  1 C 1.27
O  0.6749  0.6214  0.7140  1 C 1.31
O  0.7100  0.2999  0.3150  1 C 1.30
O  0.8146  0.7747  0.1766  1 C 1.28
O  0.8631  0.0564  0.7527  1 C 1.32
O  0.9801  0.7001  0.4206  1 C 1.30

Output
Calculated volume (Å³/f.u.): 145.2
N(E_F) (states/eV/f.u.): 0.9
Total DFT energy (no corrections) (eV per atom): -6.51
Space-group type: P-1, No. 2
Uncorrected formation energy (eV/atom): -1.206

2.
NdErCuPd | GGA-PBE | optimized geometry

a b c (Å): 4.5993 5.5872 5.5872
angles (deg): 39.84 90.00 90.00
Last column: nearest neighbours and their distance in Å.
Positions (direct):
Nd  0.0000  0.0000  0.0000  3 Cu 2.95-2.99, 4 Pd 3.07
Er  0.5000  0.7224  0.7224  3 Pd 2.92-3.04, 4 Cu 3.05
Cu  0.0000  0.2806  0.2806  2 Pd 2.80, 3 Nd 2.95-2.99, 4 Er 3.05
Pd  0.5000  0.4328  0.4328  2 Cu 2.80, 3 Er 2.92-3.04, 4 Nd 3.07

Output
Calculated volume (Å³/f.u.): 92.0
N(E_F) (states/eV/f.u.): 2.8
ΔE to the lowest computed polymorph (meV/atom): 0
Total DFT energy (no corrections) (eV per atom): -5.20
Space-group type: Amm2, No. 38
DFT formation energy (meV/atom): -547